Entry 1:
# LiNb2SnH

A relaxed LiNb2SnH crystal (PBE, the Alexandria database). Values from VASP.

energy = -6.05 eV per atom

Cell and atoms, written as Quantum ESPRESSO input:
```
&SYSTEM
  ibrav = 0, nat = 5, ntyp = 4
/
ATOMIC_SPECIES
Li 6.94 Li.upf
Nb 92.91 Nb.upf
Sn 118.71 Sn.upf
H 1.01 H.upf
ATOMIC_POSITIONS crystal
Li 0.000 0.000 0.000
Nb 0.000 0.500 0.500
Nb 0.500 0.000 0.500
Sn 0.500 0.500 0.000
H 0.000 0.000 0.500
CELL_PARAMETERS angstrom
4.069 0.000 0.000
0.000 4.069 0.000
0.000 0.000 4.473
```


Entry 2:
# Li5Ti3Pd12

A relaxed Li5Ti3Pd12 crystal (PBE, the Alexandria database). Values from VASP.

energy = -4.75 eV per atom

Cell and atoms, written as Quantum ESPRESSO input:
```
&SYSTEM
  ibrav = 0, nat = 80, ntyp = 3
/
ATOMIC_SPECIES
Li 6.94 Li.upf
Ti 47.87 Ti.upf
Pd 106.42 Pd.upf
ATOMIC_POSITIONS crystal
Li 0.000 0.000 0.000
Li 0.000 0.000 0.500
Li 0.000 0.500 0.000
Li 0.000 0.500 0.500
Li 0.125 0.750 0.875
Li 0.125 0.875 0.250
Li 0.250 0.125 0.875
Li 0.250 0.625 0.375
Li 0.375 0.250 0.625
Li 0.375 0.625 0.750
Li 0.500 0.000 0.000
Li 0.500 0.000 0.500
Li 0.500 0.500 0.000
Li 0.500 0.500 0.500
Li 0.625 0.375 0.250
Li 0.625 0.750 0.375
Li 0.750 0.375 0.625
Li 0.750 0.875 0.125
Li 0.875 0.125 0.750
Li 0.875 0.250 0.125
Ti 0.125 0.250 0.375
Ti 0.125 0.375 0.750
Ti 0.250 0.375 0.125
Ti 0.250 0.875 0.625
Ti 0.375 0.125 0.250
Ti 0.375 0.750 0.125
Ti 0.625 0.250 0.875
Ti 0.625 0.875 0.750
Ti 0.750 0.125 0.375
Ti 0.750 0.625 0.875
Ti 0.875 0.625 0.250
Ti 0.875 0.750 0.625
Pd 0.059 0.227 0.128
Pd 0.059 0.332 0.931
Pd 0.069 0.628 0.402
Pd 0.069 0.941 0.668
Pd 0.098 0.727 0.668
Pd 0.098 0.872 0.431
Pd 0.128 0.059 0.227
Pd 0.128 0.569 0.902
Pd 0.168 0.227 0.598
Pd 0.168 0.441 0.569
Pd 0.227 0.128 0.059
Pd 0.227 0.598 0.168
Pd 0.273 0.332 0.902
Pd 0.273 0.441 0.372
Pd 0.332 0.902 0.273
Pd 0.332 0.931 0.059
Pd 0.372 0.273 0.441
Pd 0.372 0.598 0.931
Pd 0.402 0.069 0.628
Pd 0.402 0.832 0.773
Pd 0.431 0.098 0.872
Pd 0.431 0.832 0.559
Pd 0.441 0.372 0.273
Pd 0.441 0.569 0.168
Pd 0.559 0.431 0.832
Pd 0.559 0.628 0.727
Pd 0.569 0.168 0.441
Pd 0.569 0.902 0.128
Pd 0.598 0.168 0.227
Pd 0.598 0.931 0.372
Pd 0.628 0.402 0.069
Pd 0.628 0.727 0.559
Pd 0.668 0.069 0.941
Pd 0.668 0.098 0.727
Pd 0.727 0.559 0.628
Pd 0.727 0.668 0.098
Pd 0.773 0.402 0.832
Pd 0.773 0.872 0.941
Pd 0.832 0.559 0.431
Pd 0.832 0.773 0.402
Pd 0.872 0.431 0.098
Pd 0.872 0.941 0.773
Pd 0.902 0.128 0.569
Pd 0.902 0.273 0.332
Pd 0.931 0.059 0.332
Pd 0.931 0.372 0.598
Pd 0.941 0.668 0.069
Pd 0.941 0.773 0.872
CELL_PARAMETERS angstrom
-7.082 7.082 7.082
7.082 -7.082 7.082
7.082 7.082 -7.082
```


Entry 3:
# TbPm4Pr2Tm

A relaxed TbPm4Pr2Tm crystal (PBE, the Alexandria database). Values from VASP.

energy = -4.32 eV per atom

Cell and atoms, written as Quantum ESPRESSO input:
```
&SYSTEM
  ibrav = 0, nat = 16, ntyp = 4
/
ATOMIC_SPECIES
Tb 158.93 Tb.upf
Pm 145.00 Pm.upf
Pr 140.91 Pr.upf
Tm 168.93 Tm.upf
ATOMIC_POSITIONS crystal
Tb 0.000 0.500 0.000
Tb 0.500 0.000 0.500
Pm 0.239 0.753 0.496
Pm 0.243 0.247 0.972
Pm 0.247 0.243 0.472
Pm 0.247 0.761 0.004
Pm 0.753 0.239 0.996
Pm 0.753 0.757 0.528
Pm 0.757 0.753 0.028
Pm 0.761 0.247 0.504
Pr 0.000 0.500 0.500
Pr 0.500 0.000 0.000
Pr 0.500 0.500 0.000
Pr 0.500 0.500 0.500
Tm 0.000 0.000 0.000
Tm 0.000 0.000 0.500
CELL_PARAMETERS angstrom
6.903 -6.697 0.000
6.903 6.697 0.000
-3.444 0.000 5.998
```


Entry 4:
# TaPt3Rh3

A relaxed TaPt3Rh3 crystal (PBE, the Alexandria database). Values from VASP.

energy = -7.60 eV per atom

Cell and atoms, written as Quantum ESPRESSO input:
```
&SYSTEM
  ibrav = 0, nat = 14, ntyp = 3
/
ATOMIC_SPECIES
Ta 180.95 Ta.upf
Pt 195.08 Pt.upf
Rh 102.91 Rh.upf
ATOMIC_POSITIONS crystal
Ta 0.231 0.231 0.000
Ta 0.769 0.769 0.000
Pt 0.000 0.500 0.247
Pt 0.000 0.500 0.753
Pt 0.500 0.000 0.247
Pt 0.500 0.000 0.753
Pt 0.500 0.500 0.248
Pt 0.500 0.500 0.752
Rh 0.230 0.230 0.500
Rh 0.241 0.759 0.000
Rh 0.249 0.751 0.500
Rh 0.751 0.249 0.500
Rh 0.759 0.241 0.000
Rh 0.770 0.770 0.500
CELL_PARAMETERS angstrom
3.810 -3.870 0.000
3.810 3.870 0.000
0.000 0.000 7.811
```


Entry 5:
# Ba5H2OsN4

A relaxed Ba5H2OsN4 crystal (PBE, the Alexandria database). Values from VASP.

energy = -5.37 eV per atom

Cell and atoms, written as Quantum ESPRESSO input:
```
&SYSTEM
  ibrav = 0, nat = 12, ntyp = 4
/
ATOMIC_SPECIES
Ba 137.33 Ba.upf
H 1.01 H.upf
Os 190.23 Os.upf
N 14.01 N.upf
ATOMIC_POSITIONS crystal
Ba 0.000 0.000 0.000
Ba 0.271 0.302 0.654
Ba 0.271 0.654 0.302
Ba 0.729 0.302 0.654
Ba 0.729 0.654 0.302
H 0.000 0.517 0.980
H 0.000 0.980 0.517
Os 0.500 0.980 0.980
N 0.321 0.181 0.181
N 0.500 0.675 0.966
N 0.500 0.966 0.675
N 0.679 0.181 0.181
CELL_PARAMETERS angstrom
7.785 0.000 0.000
0.000 5.221 3.302
0.000 -5.221 3.302
```


Entry 6:
# HfTePd6

A relaxed HfTePd6 crystal (PBE, the Alexandria database). Values from VASP.

polymorph energy (0 for the lowest one) = 0 meV per atom
raw formation energy = -536 meV per atom
energy = -6.07 eV per atom

Cell and atoms, written as Quantum ESPRESSO input:
```
&SYSTEM
  ibrav = 0, nat = 8, ntyp = 3
/
ATOMIC_SPECIES
Hf 178.49 Hf.upf
Te 127.60 Te.upf
Pd 106.42 Pd.upf
ATOMIC_POSITIONS crystal
Hf 0.000 0.000 0.000
Te 0.000 0.000 0.500
Pd 0.000 0.500 0.238
Pd 0.000 0.500 0.762
Pd 0.500 0.000 0.238
Pd 0.500 0.000 0.762
Pd 0.500 0.500 0.000
Pd 0.500 0.500 0.500
CELL_PARAMETERS angstrom
4.043 0.000 0.000
0.000 4.043 0.000
0.000 0.000 8.167
```